SrLiCuAu3 after structural relaxation. Source: the Alexandria database, functional PBE.

Unit cell a=7.0949 b=7.0949 c=6.0201 alpha=90.00 beta=90.00 gamma=123.64
Last column: nearest neighbours and their distance in Å.
Sites, in units of the cell vectors:
Sr 0.2036 0.7964 0.7500  1 Li 3.05, 2 Cu 3.13, 6 Au 3.29-3.40
Sr 0.7964 0.2036 0.2500  1 Li 3.05, 2 Cu 3.13, 6 Au 3.29-3.40
Li 0.4472 0.5528 0.7500  5 Au 2.52-2.64
Li 0.5528 0.4472 0.2500  5 Au 2.52-2.64
Cu 0.1350 0.8650 0.2500  5 Au 2.58-2.68
Cu 0.8650 0.1350 0.7500  5 Au 2.58-2.68
Au 0.2141 0.2141 0.0000  2 Li 2.52, 2 Cu 2.68
Au 0.2141 0.2141 0.5000  2 Li 2.52, 2 Cu 2.68
Au 0.3414 0.6586 0.2500  1 Cu 2.58, 1 Li 2.64
Au 0.6586 0.3414 0.7500  1 Cu 2.58, 1 Li 2.64
Au 0.7859 0.7859 0.0000  2 Li 2.52, 2 Cu 2.68
Au 0.7859 0.7859 0.5000  2 Li 2.52, 2 Cu 2.68

## Properties
magnetization: 0.00 μB/cell
energy: -3.27 eV/atom

Li2TbCuAu4 after structural relaxation. Source: the Alexandria database, functional PBE.

Unit cell a=8.7172 b=8.7172 c=8.7172 alpha=29.72 beta=29.72 gamma=29.72
Last column: nearest neighbours and their distance in Å.
Sites, in units of the cell vectors:
Li 0.2367 0.2367 0.2367  7 Au 2.69-2.73
Li 0.7633 0.7633 0.7633  7 Au 2.69-2.73
Tb 0.0000 0.0000 0.0000  8 Au 3.01-3.18
Cu 0.5000 0.5000 0.5000  8 Au 2.62-2.76
Au 0.1273 0.1273 0.1273  4 Li 2.69-2.73, 3 Cu 2.76
Au 0.3952 0.3952 0.3952  1 Cu 2.62, 3 Li 2.72
Au 0.6048 0.6048 0.6048  1 Cu 2.62, 3 Li 2.72
Au 0.8727 0.8727 0.8727  4 Li 2.69-2.73, 3 Cu 2.76

## Properties
magnetization: 0.00 μB/cell
energy: -3.72 eV/atom

LiYCu2Au4 after structural relaxation. Source: the Alexandria database, functional PBE.

Unit cell a=8.4331 b=8.4331 c=8.4331 alpha=30.85 beta=30.85 gamma=30.85
Last column: nearest neighbours and their distance in Å.
Sites, in units of the cell vectors:
Li 0.0000 0.0000 0.0000  8 Au 2.54-2.74
Y 0.5000 0.5000 0.5000  8 Au 2.98-3.13
Cu 0.2557 0.2557 0.2557  7 Au 2.68-2.77
Cu 0.7443 0.7443 0.7443  7 Au 2.68-2.77
Au 0.1056 0.1056 0.1056  1 Li 2.54, 3 Cu 2.68
Au 0.3700 0.3700 0.3700  3 Li 2.74, 4 Cu 2.75-2.77
Au 0.6300 0.6300 0.6300  3 Li 2.74, 4 Cu 2.75-2.77
Au 0.8944 0.8944 0.8944  1 Li 2.54, 3 Cu 2.68

## Properties
magnetization: 0.00 μB/cell
energy: -4.13 eV/atom

Li2Zn2CuAu5 after structural relaxation. Source: the Alexandria database, functional PBE.

Unit cell a=10.1146 b=10.1146 c=3.4195 alpha=90.00 beta=90.00 gamma=90.00
Last column: nearest neighbours and their distance in Å.
Sites, in units of the cell vectors:
Li 0.1631 0.3369 0.0000  3 Zn 2.81-3.08, 6 Au 2.89-2.92
Li 0.3369 0.8369 0.0000  3 Zn 2.81-3.08, 6 Au 2.89-2.92
Li 0.6631 0.1631 0.0000  3 Zn 2.81-3.08, 6 Au 2.89-2.92
Li 0.8369 0.6631 0.0000  3 Zn 2.81-3.08, 6 Au 2.89-2.92
Zn 0.1407 0.6407 0.0000  6 Au 2.60-2.64, 1 Li 2.81
Zn 0.3593 0.1407 0.0000  6 Au 2.60-2.64, 1 Li 2.81
Zn 0.6407 0.8593 0.0000  6 Au 2.60-2.64, 1 Li 2.81
Zn 0.8593 0.3593 0.0000  6 Au 2.60-2.64, 1 Li 2.81
Cu 0.0000 0.0000 0.0000  8 Au 2.68
Cu 0.5000 0.5000 0.0000  8 Au 2.68
Au 0.0000 0.5000 0.5000  4 Zn 2.64, 4 Li 2.89
Au 0.0279 0.7981 0.5000  2 Zn 2.60, 2 Cu 2.68
Au 0.2019 0.0279 0.5000  2 Zn 2.60, 2 Cu 2.68
Au 0.2981 0.5279 0.5000  2 Zn 2.60, 2 Cu 2.68
Au 0.4721 0.2981 0.5000  2 Zn 2.60, 2 Cu 2.68
Au 0.5000 0.0000 0.5000  4 Zn 2.64, 4 Li 2.89
Au 0.5279 0.7019 0.5000  2 Zn 2.60, 2 Cu 2.68
Au 0.7019 0.4721 0.5000  2 Zn 2.60, 2 Cu 2.68
Au 0.7981 0.9721 0.5000  2 Zn 2.60, 2 Cu 2.68
Au 0.9721 0.2019 0.5000  2 Zn 2.60, 2 Cu 2.68

## Properties
magnetization: 0.00 μB/cell
energy: -2.93 eV/atom

Lu2CuAu after structural relaxation. Source: the Alexandria database, functional PBE.

Unit cell a=4.9199 b=4.9199 c=3.4462 alpha=90.00 beta=90.00 gamma=90.00
Last column: nearest neighbours and their distance in Å.
Sites, in units of the cell vectors:
Lu 0.0000 0.5000 0.0000  4 Cu 3.00, 4 Au 3.00
Lu 0.5000 0.0000 0.0000  4 Cu 3.00, 4 Au 3.00
Cu 0.0000 0.0000 0.5000  8 Lu 3.00
Au 0.5000 0.5000 0.5000  8 Lu 3.00

## Properties
magnetization: 0.00 μB/cell
energy: -4.70 eV/atom

LuCuAu after structural relaxation. Source: the Alexandria database, functional PBE.

Unit cell a=5.0546 b=5.0546 c=5.0546 alpha=138.60 beta=138.60 gamma=59.99
Last column: nearest neighbours and their distance in Å.
Sites, in units of the cell vectors:
Lu 0.0000 0.0000 0.0000  5 Au 2.90-2.93, 5 Cu 2.91-2.92
Cu 0.6676 0.6676 0.0000  5 Au 2.91-2.94, 5 Lu 2.91-2.92
Au 0.3316 0.3316 0.0000  5 Lu 2.90-2.93, 5 Cu 2.91-2.94

## Properties
magnetization: 0.00 μB/cell
relative energy among the computed polymorphs: 0 meV per atom

Lu2CuAu after structural relaxation. Source: the Alexandria database, functional PBE.

Unit cell a=4.9088 b=4.9088 c=4.9088 alpha=60.00 beta=60.00 gamma=60.00
Last column: nearest neighbours and their distance in Å.
Sites, in units of the cell vectors:
Lu 0.2500 0.2500 0.2500  4 Cu 3.01, 4 Au 3.01
Lu 0.7500 0.7500 0.7500  4 Cu 3.01, 4 Au 3.01
Cu 0.0000 0.0000 0.0000  8 Lu 3.01
Au 0.5000 0.5000 0.5000  8 Lu 3.01

## Properties
magnetization: 0.00 μB/cell
energy: -4.70 eV/atom

LuCu4Au after structural relaxation. Source: the Alexandria database, functional PBE.

Unit cell a=5.0045 b=5.0045 c=5.0045 alpha=60.00 beta=60.00 gamma=60.00
Last column: nearest neighbours and their distance in Å.
Sites, in units of the cell vectors:
Lu 0.0000 0.0000 0.0000  12 Cu 2.94, 4 Au 3.06
Cu 0.3754 0.3754 0.3754  6 Cu 2.49-2.51
Cu 0.3754 0.3754 0.8738  6 Cu 2.49-2.51
Cu 0.3754 0.8738 0.3754  6 Cu 2.49-2.51
Cu 0.8738 0.3754 0.3754  6 Cu 2.49-2.51
Au 0.7500 0.7500 0.7500  12 Cu 2.93, 4 Lu 3.06

## Properties
magnetization: 0.00 μB/cell
energy: -4.36 eV/atom

LuCuAu after structural relaxation. Source: the Alexandria database, functional PBE.

Unit cell a=4.4457 b=4.4457 c=3.3887 alpha=90.00 beta=90.00 gamma=120.00
Last column: nearest neighbours and their distance in Å.
Sites, in units of the cell vectors:
Lu 0.0000 0.0000 0.0000  6 Cu 3.08, 6 Au 3.08, 2 Lu 3.39
Cu 0.3333 0.6667 0.5000  3 Au 2.57
Au 0.6667 0.3333 0.5000  3 Cu 2.57

## Properties
magnetization: 0.00 μB/cell
relative energy among the computed polymorphs: 22 meV per atom

NdLuCuAu after structural relaxation. Source: the Alexandria database, functional PBE.

Unit cell a=5.0558 b=5.0558 c=5.0558 alpha=60.00 beta=60.00 gamma=60.00
Last column: nearest neighbours and their distance in Å.
Sites, in units of the cell vectors:
Nd 0.0000 0.0000 0.0000  4 Au 3.10, 4 Cu 3.10
Lu 0.5000 0.5000 0.5000  4 Au 3.10, 4 Cu 3.10
Cu 0.2500 0.2500 0.2500  4 Nd 3.10, 4 Lu 3.10
Au 0.7500 0.7500 0.7500  4 Nd 3.10, 4 Lu 3.10

## Properties
magnetization: 0.00 μB/cell
energy: -4.66 eV/atom

LuCuNiAu after structural relaxation. Source: the Alexandria database, functional PBE.

Unit cell a=4.5056 b=4.5056 c=4.5056 alpha=60.00 beta=60.00 gamma=60.00
Last column: nearest neighbours and their distance in Å.
Sites, in units of the cell vectors:
Lu 0.0000 0.0000 0.0000  4 Ni 2.76, 4 Cu 2.76
Cu 0.2500 0.2500 0.2500  4 Au 2.76, 4 Lu 2.76
Ni 0.7500 0.7500 0.7500  4 Lu 2.76, 4 Au 2.76
Au 0.5000 0.5000 0.5000  4 Ni 2.76, 4 Cu 2.76

## Properties
magnetization: 0.00 μB/cell
energy: -4.80 eV/atom

LuCuPbAu after structural relaxation. Source: the Alexandria database, functional PBE.

Unit cell a=4.9013 b=4.9013 c=4.9013 alpha=60.00 beta=60.00 gamma=60.00
Last column: nearest neighbours and their distance in Å.
Sites, in units of the cell vectors:
Lu 0.0000 0.0000 0.0000  4 Cu 3.00, 4 Au 3.00
Cu 0.2500 0.2500 0.2500  4 Pb 3.00, 4 Lu 3.00
Pb 0.5000 0.5000 0.5000  4 Cu 3.00, 4 Au 3.00
Au 0.7500 0.7500 0.7500  4 Pb 3.00, 4 Lu 3.00

## Properties
magnetization: 0.00 μB/cell
energy: -4.22 eV/atom